(1)
Below is an optimized crystal structure of NbTlBAs2, with properties calculated at the PBE level.

Lattice parameters (Å, degrees): 4.4687 4.6394 4.4687 90.00 90.00 90.00
Element x y z (fractional)
As 0.0000 0.0000 0.5000
As 0.5000 0.0000 0.0000
Tl 0.5000 0.5000 0.5000
B 0.0000 0.0000 0.0000
Nb 0.0000 0.5000 0.0000

Properties
The formation enthalpy at 0 K is 3.40 eV per formula unit. The calculation puts the total magnetization at 0.00 Bohr magnetons per cell. The value obtained for the electronic total energy is -25.02 eV/f.u.


(2)
Below is an optimized crystal structure of NdBAs2O8, with properties calculated at the PBE level.

Lattice parameters (Å, degrees): 5.1721 5.1721 6.4088 90.00 90.00 120.00
Element x y z (fractional)
Nd 0.0000 0.0000 0.5000
B 0.0000 0.0000 0.0000
As 0.3333 0.6667 0.7685
As 0.6667 0.3333 0.2315
O 0.1477 0.2953 0.8322
O 0.1477 0.8523 0.8322
O 0.7047 0.8523 0.8322
O 0.2953 0.1477 0.1678
O 0.6667 0.3333 0.4976
O 0.3333 0.6667 0.5024
O 0.8523 0.7047 0.1678
O 0.8523 0.1477 0.1678

Properties
The calculation puts the total magnetization at 0.00 Bohr magnetons per cell. The value obtained for the electronic total energy is -78.99 eV/f.u. The uncorrected formation energy is -1.5487 eV per atom.


(3)
Below is an optimized crystal structure of Nd3B2AsPt9, with properties calculated at the PBE level.

Lattice parameters (Å, degrees): 5.8341 5.8341 9.2616 90.00 90.00 120.00
Element x y z (fractional)
Nd 0.3333 0.6667 0.6070
Nd 0.0000 0.0000 0.0000
Nd 0.6667 0.3333 0.3930
B 0.3333 0.6667 0.1483
B 0.6667 0.3333 0.8517
As 0.0000 0.0000 0.5000
Pt 0.8332 0.1668 0.7124
Pt 0.8332 0.6663 0.7124
Pt 0.3337 0.1668 0.7124
Pt 0.6663 0.8332 0.2876
Pt 0.1668 0.3337 0.2876
Pt 0.1668 0.8332 0.2876
Pt 0.5000 0.0000 0.0000
Pt 0.0000 0.5000 0.0000
Pt 0.5000 0.5000 0.0000

Properties
The formation enthalpy at 0 K is -11.57 eV per formula unit. The calculation puts the total magnetization at 0.00 Bohr magnetons per cell. The value obtained for the electronic total energy is -98.25 eV/f.u.


(4)
Below is an optimized crystal structure of NdBAsRh3, with properties calculated at the PBE level.

Lattice parameters (Å, degrees): 5.8281 5.7609 6.6875 115.51 90.00 90.00
Element x y z (fractional)
Nd 0.7500 0.2578 0.5156
Nd 0.2500 0.7422 0.4844
B 0.2500 0.0085 0.0170
B 0.7500 0.9915 0.9830
As 0.2500 0.3766 0.7532
As 0.7500 0.6234 0.2468
Rh 0.2500 0.1805 0.3610
Rh 0.0000 0.2521 0.0000
Rh 0.5000 0.7479 0.0000
Rh 0.5000 0.2521 0.0000
Rh 0.0000 0.7479 0.0000
Rh 0.7500 0.8195 0.6390

Properties
The formation enthalpy at 0 K is -4.08 eV per formula unit. The calculation puts the total magnetization at 0.00 Bohr magnetons per cell. The value obtained for the electronic total energy is -42.23 eV/f.u.


(5)
Below is an optimized crystal structure of NiBAs2, with properties calculated at the PBE level.

Lattice parameters (Å, degrees): 5.2253 5.2253 5.9854 64.12 64.12 90.00
Element x y z (fractional)
Ni 0.0000 0.0000 0.0000
Ni 0.7500 0.2500 0.5000
As 0.5892 0.1250 0.2500
As 0.1608 0.6250 0.2500
As 0.3750 0.4108 0.7500
As 0.8750 0.8392 0.7500
B 0.5000 0.5000 0.0000
B 0.2500 0.7500 0.5000

Properties
The formation enthalpy at 0 K is 0.42 eV per formula unit. The calculation puts the total magnetization at 0.00 Bohr magnetons per cell. The value obtained for the electronic total energy is -21.34 eV/f.u.


(6)
Below is an optimized crystal structure of NiBAs3, with properties calculated at the PBE level.

Lattice parameters (Å, degrees): 4.5833 4.5833 4.5833 90.00 90.00 90.00
Element x y z (fractional)
Ni 0.0000 0.0000 0.0000
As 0.0000 0.5000 0.0000
As 0.0000 0.0000 0.5000
As 0.5000 0.0000 0.0000
B 0.5000 0.5000 0.5000

Properties
The formation enthalpy at 0 K is 6.22 eV per formula unit. The energy relative to the lowest polymorph listed for this composition is 0.366 eV per atom. The calculation puts the total magnetization at 0.00 Bohr magnetons per cell. The value obtained for the electronic total energy is -20.19 eV/f.u.